P.
! AcPmSb2 PBE relaxed; values from VASP
! Symmetry: Fm-3m, No. 225
! Volume (A^3/atom): 31.8
! Total moment (μB/cell): 0.00
&SYSTEM
  ibrav = 0, nat = 4, ntyp = 3
/
ATOMIC_SPECIES
Sb 121.76 Sb.upf
Ac 227.00 Ac.upf
Pm 145.00 Pm.upf
CELL_PARAMETERS angstrom
-4.062 -0.628 3.869
-2.820 -4.876 0.366
0.819 -3.408 4.424
ATOMIC_POSITIONS angstrom
Sb -4.547 -6.684 6.494
Sb -1.516 -2.228 2.165
Ac -3.031 -4.456 4.329
Pm 0.000 0.000 0.000


Q.
! AcPmSb2 PBE relaxed; values from VASP
! Symmetry: P-3m1, No. 164
! Volume (A^3/atom): 36.7
! Total moment (μB/cell): 0.00
&SYSTEM
  ibrav = 0, nat = 4, ntyp = 3
/
ATOMIC_SPECIES
Ac 227.00 Ac.upf
Pm 145.00 Pm.upf
Sb 121.76 Sb.upf
CELL_PARAMETERS angstrom
4.594 0.000 0.000
-2.297 3.979 0.002
0.000 -0.005 8.040
ATOMIC_POSITIONS angstrom
Ac -1.149 1.987 4.021
Pm -1.149 1.989 0.001
Sb 1.149 3.312 6.160
Sb 1.149 0.662 1.882


What is the least stable structure shown above? It is P.